! ZrReSeN2, optimized geometry, DFT PBE-GGA; values from VASP
! - Total moment: 4.1 μB per cell
! - Raw formation energy: 1133 meV per atom
! - Space group: P4/mmm
! - ΔE to the lowest computed polymorph: 946.0 meV/atom
&SYSTEM
  ibrav = 0, nat = 5, ntyp = 4
/
ATOMIC_SPECIES
Se 78.96 Se.upf
Re 186.21 Re.upf
N 14.01 N.upf
Zr 91.22 Zr.upf
CELL_PARAMETERS angstrom
4.0962 0.0000 0.0000
0.0000 4.0962 0.0000
0.0000 0.0000 5.6731
ATOMIC_POSITIONS crystal
Se 0.0000 0.0000 0.5000
Re 0.5000 0.5000 0.5000
N 0.0000 0.5000 0.0000
N 0.5000 0.0000 0.0000
Zr 0.0000 0.0000 0.0000

=====

! ZrReSe2N, optimized geometry, DFT PBE-GGA; values from VASP
! - Total moment: 0.0 μB per cell
! - Raw formation energy: 98 meV per atom
! - Space group: P4/mmm
! - ΔE to the lowest computed polymorph: 0.0 meV/atom
&SYSTEM
  ibrav = 0, nat = 5, ntyp = 4
/
ATOMIC_SPECIES
N 14.01 N.upf
Se 78.96 Se.upf
Re 186.21 Re.upf
Zr 91.22 Zr.upf
CELL_PARAMETERS angstrom
5.0749 0.0000 0.0000
0.0000 5.0749 0.0000
0.0000 0.0000 3.7168
ATOMIC_POSITIONS crystal
N 0.0000 0.0000 0.5000
Se 0.5000 0.0000 0.0000
Se 0.0000 0.5000 0.0000
Re 0.0000 0.0000 0.0000
Zr 0.5000 0.5000 0.5000

=====

! ZrReSeN2, optimized geometry, DFT PBE-GGA; values from VASP
! - Total moment: 0.0 μB per cell
! - Raw formation energy: 187 meV per atom
! - Space group: P4/mmm
! - ΔE to the lowest computed polymorph: 0.0 meV/atom
&SYSTEM
  ibrav = 0, nat = 5, ntyp = 4
/
ATOMIC_SPECIES
N 14.01 N.upf
Re 186.21 Re.upf
Zr 91.22 Zr.upf
Se 78.96 Se.upf
CELL_PARAMETERS angstrom
3.8908 0.0000 0.0000
0.0000 3.8908 0.0000
0.0000 0.0000 5.1360
ATOMIC_POSITIONS crystal
N 0.5000 0.0000 0.0000
N 0.0000 0.5000 0.0000
Re 0.0000 0.0000 0.0000
Zr 0.5000 0.5000 0.5000
Se 0.0000 0.0000 0.5000

=====

! ZrReSe2N, optimized geometry, DFT PBE-GGA; values from VASP
! - Total moment: 4.2 μB per cell
! - Raw formation energy: 857 meV per atom
! - Space group: P4/mmm
! - ΔE to the lowest computed polymorph: 759.0 meV/atom
&SYSTEM
  ibrav = 0, nat = 5, ntyp = 4
/
ATOMIC_SPECIES
Se 78.96 Se.upf
Re 186.21 Re.upf
Zr 91.22 Zr.upf
N 14.01 N.upf
CELL_PARAMETERS angstrom
5.3171 0.0000 0.0000
0.0000 5.3171 0.0000
0.0000 0.0000 3.9936
ATOMIC_POSITIONS crystal
Se 0.5000 0.0000 0.0000
Se 0.0000 0.5000 0.0000
Re 0.5000 0.5000 0.5000
Zr 0.0000 0.0000 0.0000
N 0.0000 0.0000 0.5000

=====

! Re3SiN, optimized geometry, DFT PBE-GGA; values from VASP
! - Total moment: 0.0 μB per cell
! - Raw formation energy: 474 meV per atom
! - Space group: Pm-3m
! - ΔE to the lowest computed polymorph: 0.0 meV/atom
&SYSTEM
  ibrav = 0, nat = 5, ntyp = 3
/
ATOMIC_SPECIES
Re 186.21 Re.upf
Si 28.09 Si.upf
N 14.01 N.upf
CELL_PARAMETERS angstrom
4.0444 0.0000 0.0000
0.0000 4.0444 0.0000
0.0000 0.0000 4.0444
ATOMIC_POSITIONS crystal
Re 0.0000 0.0000 0.5000
Re 0.5000 0.0000 0.0000
Re 0.0000 0.5000 0.0000
Si 0.5000 0.5000 0.5000
N 0.0000 0.0000 0.0000

=====

! ReSi3N, optimized geometry, DFT PBE-GGA; values from VASP
! - Total moment: 2.0 μB per cell
! - Raw formation energy: 1240 meV per atom
! - Space group: Pm-3m
! - ΔE to the lowest computed polymorph: 659.8 meV/atom
&SYSTEM
  ibrav = 0, nat = 5, ntyp = 3
/
ATOMIC_SPECIES
Si 28.09 Si.upf
Re 186.21 Re.upf
N 14.01 N.upf
CELL_PARAMETERS angstrom
-1.5623 -3.3054 2.8890
4.2956 -0.5187 1.7295
-0.9053 3.2432 3.2210
ATOMIC_POSITIONS crystal
Si 0.5000 0.0000 0.0000
Si 0.0000 0.5000 0.0000
Si 0.0000 0.0000 0.5000
Re 0.0000 0.0000 0.0000
N 0.5000 0.5000 0.5000

=====

! ReSi2N, optimized geometry, DFT PBE-GGA; values from VASP
! - Total moment: 0.0 μB per cell
! - Raw formation energy: 185 meV per atom
! - Space group: I-42d
&SYSTEM
  ibrav = 0, nat = 8, ntyp = 3
/
ATOMIC_SPECIES
Si 28.09 Si.upf
N 14.01 N.upf
Re 186.21 Re.upf
CELL_PARAMETERS angstrom
-5.1507 0.5781 1.6138
1.5815 -0.3691 5.1799
-1.3577 3.5805 3.5142
ATOMIC_POSITIONS crystal
Si 0.5369 0.1250 0.2500
Si 0.2131 0.6250 0.2500
Si 0.3750 0.4631 0.7500
Si 0.8750 0.7869 0.7500
N 0.5000 0.5000 0.0000
N 0.2500 0.7500 0.5000
Re 0.0000 0.0000 0.0000
Re 0.7500 0.2500 0.5000

=====

! ReSi3N, optimized geometry, DFT PBE-GGA; values from VASP
! - Total moment: 0.6 μB per cell
! - Raw formation energy: 580 meV per atom
! - Space group: Pm-3m
! - ΔE to the lowest computed polymorph: 0.0 meV/atom
&SYSTEM
  ibrav = 0, nat = 5, ntyp = 3
/
ATOMIC_SPECIES
Si 28.09 Si.upf
Re 186.21 Re.upf
N 14.01 N.upf
CELL_PARAMETERS angstrom
3.9217 0.0000 0.0000
0.0000 3.9217 0.0000
0.0000 0.0000 3.9217
ATOMIC_POSITIONS crystal
Si 0.5000 0.0000 0.0000
Si 0.0000 0.5000 0.0000
Si 0.0000 0.0000 0.5000
Re 0.5000 0.5000 0.5000
N 0.0000 0.0000 0.0000